[1]
Here is a relaxed structure of PuBiH from Alexandria. Energies are from PBE.

Computed properties:
N(E_F) (states/eV per atom): 2.841
Excess energy over the best structure of this formula in the dataset (meV per atom): 0
Electronic total energy (hartree per atom): -0.2765

Cell: 3.788 3.788 5.012 Å, 90.00 90.00 120.00°
Sites, in units of the cell vectors:
Pu 0.000 0.000 0.000
Bi 0.667 0.333 0.500
H 0.333 0.667 0.000

***

[2]
Here is a relaxed structure of Nd2CoH6Pt from Alexandria. Energies are from PBE.

Computed properties:
N(E_F) (states/eV per atom): 0.376
Electronic total energy (hartree per atom): -0.1746

Cell: 5.363 5.363 5.363 Å, 123.91 123.91 83.36°
Sites, in units of the cell vectors:
Nd 0.250 0.750 0.500
Nd 0.750 0.250 0.500
Co 0.000 0.000 0.000
H 0.204 0.204 0.000
H 0.238 0.238 0.475
H 0.238 0.762 0.000
H 0.762 0.238 0.000
H 0.762 0.762 0.525
H 0.796 0.796 0.000
Pt 0.500 0.500 0.000

***

[3]
Here is a relaxed structure of Sr2HgAs from Alexandria. Energies are from PBE.

Computed properties:
N(E_F) (states/eV per atom): 0.535
Excess energy over the best structure of this formula in the dataset (meV per atom): 2
Electronic total energy (hartree per atom): -0.1067
DFT formation energy (eV/atom): -0.83

Cell: 4.681 6.314 6.314 Å, 42.17 90.00 90.00°
Sites, in units of the cell vectors:
Sr 0.000 0.000 0.000
Sr 0.500 0.269 0.269
Hg 0.500 0.551 0.551
As 0.000 0.720 0.720

***

[4]
Here is a relaxed structure of LiDyPaOs from Alexandria. Energies are from PBE.

Computed properties:
N(E_F) (states/eV per atom): 1.033
Electronic total energy (hartree per atom): -0.2528
DFT formation energy (eV/atom): -0.07

Cell: 4.897 4.897 4.897 Å, 60.00 60.00 60.00°
Sites, in units of the cell vectors:
Li 0.000 0.000 0.000
Dy 0.250 0.250 0.250
Pa 0.750 0.750 0.750
Os 0.500 0.500 0.500

***

[5]
Here is a relaxed structure of La2NdNi from Alexandria. Energies are from PBE.

Computed properties:
N(E_F) (states/eV per atom): 1.066
Excess energy over the best structure of this formula in the dataset (meV per atom): 27
Electronic total energy (hartree per atom): -0.1930
DFT formation energy (eV/atom): -0.15

Cell: 5.116 7.519 6.619 Å, 90.00 112.73 90.00°
Sites, in units of the cell vectors:
La 0.150 0.028 0.301
La 0.150 0.472 0.301
La 0.850 0.528 0.699
La 0.850 0.972 0.699
Nd 0.466 0.250 0.932
Nd 0.534 0.750 0.068
Ni 0.306 0.750 0.609
Ni 0.694 0.250 0.391

***

[6]
Here is a relaxed structure of Sm5BiTe5 from Alexandria. Energies are from PBE.

Computed properties:
N(E_F) (states/eV per atom): 0.376
Formation energy (no corrections) (meV per atom): -1351.9
Electronic total energy (hartree per atom): -0.1940

Cell: 7.693 7.693 8.888 Å, 106.65 106.65 48.54°
Sites, in units of the cell vectors:
Sm 0.000 0.000 0.000
Sm 0.334 0.334 0.172
Sm 0.334 0.334 0.664
Sm 0.666 0.666 0.336
Sm 0.666 0.666 0.828
Bi 0.500 0.500 0.000
Te 0.162 0.162 0.337
Te 0.166 0.166 0.830
Te 0.500 0.500 0.500
Te 0.834 0.834 0.170
Te 0.838 0.838 0.663

***

[7]
Here is a relaxed structure of Li3PbF from Alexandria. Energies are from PBE.

Computed properties:
N(E_F) (states/eV per atom): 0.617
Formation energy (no corrections) (meV per atom): -200.1
Excess energy over the best structure of this formula in the dataset (meV per atom): 1019
Electronic total energy (hartree per atom): -0.0906

Cell: 5.353 5.353 5.353 Å, 90.00 90.00 90.00°
Sites, in units of the cell vectors:
Li 0.000 0.000 0.500
Li 0.000 0.500 0.000
Li 0.500 0.000 0.000
Pb 0.000 0.000 0.000
F 0.500 0.500 0.500

***

[8]
Here is a relaxed structure of Ba2TlAg6Pd from Alexandria. Energies are from PBE.

Computed properties:
N(E_F) (states/eV per atom): 0.371
Electronic total energy (hartree per atom): -0.1041
DFT formation energy (eV/atom): 0.02

Cell: 7.502 7.502 7.502 Å, 60.00 60.00 60.00°
Sites, in units of the cell vectors:
Ba 0.250 0.250 0.250
Ba 0.750 0.750 0.750
Tl 0.000 0.000 0.000
Ag 0.257 0.257 0.743
Ag 0.257 0.743 0.257
Ag 0.257 0.743 0.743
Ag 0.743 0.257 0.257
Ag 0.743 0.257 0.743
Ag 0.743 0.743 0.257
Pd 0.500 0.500 0.500